PBE KNiPdS3, relaxed; total DFT energy (no corrections) = -54.1 eV per cell
1.0
7.4180 0.0000 0.0000
0.0000 3.4707 0.0000
-3.2394 0.0000 9.3708
K Ni Pd S
2 2 2 6
direct
0.0007 0.2500 0.2280 K
0.9993 0.7500 0.7720 K
0.4160 0.7500 0.6092 Ni
0.5840 0.2500 0.3908 Ni
0.4962 0.2500 0.8423 Pd
0.5038 0.7500 0.1577 Pd
0.2204 0.2500 0.6071 S
0.3113 0.2500 0.0164 S
0.3794 0.7500 0.3531 S
0.6206 0.2500 0.6469 S
0.6887 0.7500 0.9836 S
0.7796 0.7500 0.3929 S